--- 1 ---
VASP calculation (GGA-PBE) on a geometry-optimized KCd2PbAu structure.

Its crystal system is orthorhombic. The value obtained for the calculated density is 7.512 g/cm³.

The space group is Imm2 (No. 44) and the conventional cell measures 4.835, 4.864 and 12.561 Å, with angles of 90.00, 90.00 and 90.00 degrees. The asymmetric unit holds K at (0.000, 0.000, 0.000), Cd at (0.000, 0.000, 0.390), Cd at (0.000, 0.500, 0.238), Pb at (0.000, 0.500, 0.738) and Au at (0.000, 0.000, 0.608).

--- 2 ---
VASP calculation (GGA-PBE) on a geometry-optimized KCd2PbAu structure.

Its crystal system is tetragonal. The value obtained for the calculated density is 6.749 g/cm³.

The space group is P4/mmm (No. 123) and the conventional cell measures 5.398, 5.398 and 5.641 Å, with angles of 90.00, 90.00 and 90.00 degrees. The asymmetric unit holds K at (0.000, 0.000, 0.000), Cd at (0.000, 0.500, 0.500), Pb at (0.500, 0.500, 0.000) and Au at (0.500, 0.500, 0.500).

1 (149 meV/atom below the next structure)

--- 1 ---
VASP calculation (GGA-PBE) on a geometry-optimized KTlCd2Au structure.

Its crystal system is tetragonal. The value obtained for the calculated density is 6.718 g/cm³.

The space group is P4/mmm (No. 123) and the conventional cell measures 5.395, 5.395 and 5.649 Å, with angles of 90.00, 90.00 and 90.00 degrees. The asymmetric unit holds K at (0.000, 0.000, 0.000), Tl at (0.500, 0.500, 0.000), Cd at (0.000, 0.500, 0.500) and Au at (0.500, 0.500, 0.500).

--- 2 ---
VASP calculation (GGA-PBE) on a geometry-optimized KTlCd2Au structure.

Its crystal system is orthorhombic. The value obtained for the calculated density is 7.497 g/cm³.

The space group is Imm2 (No. 44) and the conventional cell measures 4.804, 4.903 and 12.511 Å, with angles of 90.00, 90.00 and 90.00 degrees. The asymmetric unit holds K at (0.000, 0.000, 0.000), Tl at (0.000, 0.500, 0.759), Cd at (0.000, 0.000, 0.614), Cd at (0.000, 0.500, 0.267) and Au at (0.000, 0.000, 0.393).

2 (83 meV/atom below the next structure)

--- 1 ---
VASP calculation (GGA-PBE) on a geometry-optimized K2TlCdAu structure.

Its crystal system is tetragonal. The value obtained for the calculated density is 4.738 g/cm³.

The space group is P4/mmm (No. 123) and the conventional cell measures 6.212, 6.212 and 5.377 Å, with angles of 90.00, 90.00 and 90.00 degrees. The asymmetric unit holds K at (0.000, 0.500, 0.000), Tl at (0.000, 0.000, 0.500), Cd at (0.500, 0.500, 0.500) and Au at (0.500, 0.500, 0.000).

--- 2 ---
VASP calculation (GGA-PBE) on a geometry-optimized K2TlCdAu structure.

Its crystal system is tetragonal. The value obtained for the calculated density is 4.421 g/cm³.

The space group is P4/mmm (No. 123) and the conventional cell measures 6.256, 6.256 and 5.681 Å, with angles of 90.00, 90.00 and 90.00 degrees. The asymmetric unit holds K at (0.000, 0.500, 0.000), Tl at (0.000, 0.000, 0.500), Cd at (0.500, 0.500, 0.500) and Au at (0.000, 0.000, 0.000).

1 (37 meV/atom below the next structure)

--- 1 ---
VASP calculation (GGA-PBE) on a geometry-optimized KZnCd2Au structure.

Its crystal system is tetragonal. The value obtained for the calculated density is 5.991 g/cm³.

The space group is P4/mmm (No. 123) and the conventional cell measures 5.384, 5.384 and 5.033 Å, with angles of 90.00, 90.00 and 90.00 degrees. The asymmetric unit holds K at (0.000, 0.000, 0.000), Zn at (0.500, 0.500, 0.000), Cd at (0.000, 0.500, 0.500) and Au at (0.500, 0.500, 0.500).

--- 2 ---
VASP calculation (GGA-PBE) on a geometry-optimized KZnCd2Au structure.

Its crystal system is tetragonal. The value obtained for the calculated density is 6.275 g/cm³.

The space group is P4/mmm (No. 123) and the conventional cell measures 5.216, 5.216 and 5.119 Å, with angles of 90.00, 90.00 and 90.00 degrees. The asymmetric unit holds K at (0.000, 0.000, 0.000), Zn at (0.500, 0.500, 0.500), Cd at (0.000, 0.500, 0.500) and Au at (0.500, 0.500, 0.000).

1 (69 meV/atom below the next structure)

--- 1 ---
VASP calculation (GGA-PBE) on a geometry-optimized LaCd2Au2 structure.

Its crystal system is tetragonal. The value obtained for the calculated density is 10.462 g/cm³.

The space group is I4/mmm (No. 139) and the conventional cell measures 4.239, 4.239 and 13.384 Å, with angles of 90.00, 90.00 and 90.00 degrees. The asymmetric unit holds La at (0.000, 0.000, 0.000), Cd at (0.000, 0.500, 0.250) and Au at (0.000, 0.000, 0.397).

--- 2 ---
VASP calculation (GGA-PBE) on a geometry-optimized LaCd2Au2 structure.

Its crystal system is tetragonal. The value obtained for the calculated density is 10.066 g/cm³.

The space group is I4/mmm (No. 139) and the conventional cell measures 5.125, 5.125 and 9.516 Å, with angles of 90.00, 90.00 and 90.00 degrees. The asymmetric unit holds La at (0.000, 0.000, 0.000), Cd at (0.000, 0.000, 0.359) and Au at (0.000, 0.500, 0.250).

1 (142 meV/atom below the next structure)

--- 1 ---
VASP calculation (GGA-PBE) on a geometry-optimized LaCd2Au2 structure.

Its crystal system is tetragonal. The value obtained for the calculated density is 10.335 g/cm³.

The space group is P4/mbm (No. 127) and the conventional cell measures 7.816, 7.816 and 3.985 Å, with angles of 90.00, 90.00 and 90.00 degrees. The asymmetric unit holds La at (0.000, 0.000, 0.000), Cd at (0.166, 0.334, 0.500) and Au at (0.129, 0.629, 0.000).

--- 2 ---
VASP calculation (GGA-PBE) on a geometry-optimized LaCd2Au2 structure.

Its crystal system is tetragonal. The value obtained for the calculated density is 11.158 g/cm³.

The space group is P4/mbm (No. 127) and the conventional cell measures 8.454, 8.454 and 3.155 Å, with angles of 90.00, 90.00 and 90.00 degrees. The asymmetric unit holds La at (0.000, 0.000, 0.000), Cd at (0.120, 0.380, 0.000) and Au at (0.178, 0.678, 0.500).

1 (35 meV/atom below the next structure)

--- 1 ---
VASP calculation (GGA-PBE) on a geometry-optimized LaCd2Au6 structure.

Its crystal system is hexagonal. The value obtained for the calculated density is 13.106 g/cm³.

The space group is P6/mmm (No. 191) and the conventional cell measures 8.2331, 8.2331 and 3.3359 Å, with angles of 90.00, 90.00 and 120.00 degrees. The asymmetric unit holds La at (0.0000, 0.0000, 0.0000), Cd at (0.3333, 0.6667, 0.0000) and Au at (0.0000, 0.3348, 0.5000).

--- 2 ---
VASP calculation (GGA-PBE) on a geometry-optimized LaCd2Au6 structure.

Its crystal system is hexagonal. The value obtained for the calculated density is 11.859 g/cm³.

The space group is P6/mmm (No. 191) and the conventional cell measures 5.7037, 5.7037 and 7.6814 Å, with angles of 90.00, 90.00 and 120.00 degrees. The asymmetric unit holds La at (0.0000, 0.0000, 0.0000), Cd at (0.3333, 0.6667, 0.5000) and Au at (0.0000, 0.5000, 0.1926).

2 (48 meV/atom below the next structure)

--- 1 ---
VASP calculation (GGA-PBE) on a geometry-optimized La3CdAu structure.

Its crystal system is orthorhombic. The value obtained for the calculated density is 8.016 g/cm³.

The space group is Cmcm (No. 63) and the conventional cell measures 5.474, 20.083 and 5.473 Å, with angles of 90.00, 90.00 and 90.00 degrees. The asymmetric unit holds La at (0.000, 0.060, 0.250), La at (0.000, 0.249, 0.250), La at (0.000, 0.436, 0.250), Cd at (0.000, 0.151, 0.750) and Au at (0.000, 0.349, 0.750).

--- 2 ---
VASP calculation (GGA-PBE) on a geometry-optimized La3CdAu structure.

Its crystal system is cubic. The value obtained for the calculated density is 6.143 g/cm³.

The space group is Pm-3m (No. 221) and the conventional cell measures 5.811, 5.811 and 5.811 Å, with angles of 90.00, 90.00 and 90.00 degrees. The asymmetric unit holds La at (0.000, 0.000, 0.500), Cd at (0.500, 0.500, 0.500) and Au at (0.000, 0.000, 0.000).

1 (352 meV/atom below the next structure)

--- 1 ---
VASP calculation (GGA-PBE) on a geometry-optimized LaCd4Au structure.

Its crystal system is orthorhombic. The value obtained for the calculated density is 8.813 g/cm³.

The space group is Cmcm (No. 63) and the conventional cell measures 4.496, 17.059 and 7.720 Å, with angles of 90.00, 90.00 and 90.00 degrees. The asymmetric unit holds La at (0.000, 0.127, 0.250), Cd at (0.000, 0.070, 0.750), Cd at (0.000, 0.326, 0.059), Cd at (0.000, 0.500, 0.000) and Au at (0.000, 0.240, 0.750).

--- 2 ---
VASP calculation (GGA-PBE) on a geometry-optimized LaCd4Au structure.

Its crystal system is cubic. The value obtained for the calculated density is 8.980 g/cm³.

The space group is F-43m (No. 216) and the conventional cell measures 8.345, 8.345 and 8.345 Å, with angles of 90.00, 90.00 and 90.00 degrees. The asymmetric unit holds La at (0.000, 0.000, 0.000), Cd at (0.124, 0.124, 0.376) and Au at (0.250, 0.250, 0.750).

1 (176 meV/atom below the next structure)

--- 1 ---
VASP calculation (GGA-PBE) on a geometry-optimized La2Cd3Au2 structure.

Its crystal system is monoclinic. The value obtained for the calculated density is 9.472 g/cm³.

The space group is C2/m (No. 12) and the conventional cell measures 10.343, 4.747 and 7.616 Å, with angles of 90.00, 108.91 and 90.00 degrees. The asymmetric unit holds La at (0.138, 0.000, 0.281), Cd at (0.000, 0.500, 0.500), Cd at (0.120, 0.500, 0.933) and Au at (0.164, 0.000, 0.709).

--- 2 ---
VASP calculation (GGA-PBE) on a geometry-optimized La2Cd3Au2 structure.

Its crystal system is monoclinic. The value obtained for the calculated density is 9.304 g/cm³.

The space group is C2/m (No. 12) and the conventional cell measures 10.733, 4.363 and 7.703 Å, with angles of 90.00, 93.14 and 90.00 degrees. The asymmetric unit holds La at (0.122, 0.000, 0.333), Cd at (0.000, 0.500, 0.000), Cd at (0.183, 0.000, 0.877) and Au at (0.095, 0.500, 0.641).

1 (43 meV/atom below the next structure)

--- 1 ---
VASP calculation (GGA-PBE) on a geometry-optimized La4CdAu structure.

Its crystal system is orthorhombic. The value obtained for the calculated density is 7.604 g/cm³.

The space group is Cmmm (No. 65) and the conventional cell measures 5.472, 12.601 and 5.480 Å, with angles of 90.00, 90.00 and 90.00 degrees. The asymmetric unit holds La at (0.000, 0.148, 0.000), La at (0.000, 0.350, 0.500), Cd at (0.000, 0.000, 0.500) and Au at (0.000, 0.500, 0.000).

--- 2 ---
VASP calculation (GGA-PBE) on a geometry-optimized La4CdAu structure.

Its crystal system is cubic. The value obtained for the calculated density is 7.405 g/cm³.

The space group is F-43m (No. 216) and the conventional cell measures 14.587, 14.587 and 14.587 Å, with angles of 90.00, 90.00 and 90.00 degrees. The asymmetric unit holds La at (0.000, 0.000, 0.183), La at (0.054, 0.250, 0.750), La at (0.105, 0.105, 0.395), Cd at (0.170, 0.170, 0.170) and Au at (0.106, 0.106, 0.606).

2 (48 meV/atom below the next structure)

--- 1 ---
VASP calculation (GGA-PBE) on a geometry-optimized LaPmCdAu structure.

Its crystal system is cubic. The value obtained for the calculated density is 8.914 g/cm³.

The space group is F-43m (No. 216) and the conventional cell measures 7.618, 7.618 and 7.618 Å, with angles of 90.00, 90.00 and 90.00 degrees. The asymmetric unit holds La at (0.000, 0.000, 0.000), Pm at (0.000, 0.000, 0.500), Cd at (0.250, 0.250, 0.750) and Au at (0.250, 0.250, 0.250).

--- 2 ---
VASP calculation (GGA-PBE) on a geometry-optimized LaPmCdAu structure.

Its crystal system is tetragonal. The value obtained for the calculated density is 8.916 g/cm³.

The space group is P4mm (No. 99) and the conventional cell measures 3.802, 3.802 and 7.643 Å, with angles of 90.00, 90.00 and 90.00 degrees. The asymmetric unit holds La at (0.000, 0.000, 0.000), Pm at (0.000, 0.000, 0.530), Cd at (0.500, 0.500, 0.275) and Au at (0.500, 0.500, 0.748).

2 (37 meV/atom below the next structure)

--- 1 ---
VASP calculation (GGA-PBE) on a geometry-optimized LaSmCdAu structure.

Its crystal system is cubic. The value obtained for the calculated density is 9.057 g/cm³.

The space group is F-43m (No. 216) and the conventional cell measures 7.600, 7.600 and 7.600 Å, with angles of 90.00, 90.00 and 90.00 degrees. The asymmetric unit holds La at (0.000, 0.000, 0.000), Sm at (0.000, 0.000, 0.500), Cd at (0.250, 0.250, 0.750) and Au at (0.250, 0.250, 0.250).

--- 2 ---
VASP calculation (GGA-PBE) on a geometry-optimized LaSmCdAu structure.

Its crystal system is tetragonal. The value obtained for the calculated density is 9.059 g/cm³.

The space group is P4mm (No. 99) and the conventional cell measures 3.785, 3.785 and 7.658 Å, with angles of 90.00, 90.00 and 90.00 degrees. The asymmetric unit holds La at (0.000, 0.000, 0.000), Sm at (0.000, 0.000, 0.530), Cd at (0.500, 0.500, 0.277) and Au at (0.500, 0.500, 0.744).

2 (38 meV/atom below the next structure)